Record 1
Here is crystalline SrNiBr2 at its relaxed geometry from Alexandria via LeMat-Bulk. Energies are from GGA-PBE.

Summary:
Raw formation energy (eV/atom): -0.74

Cell lengths 4.256, 4.256, 6.148 Å; angles 90.00, 90.00, 90.00 degrees
Site moments in Bohr magnetons follow the coordinates.
Fractional coordinates of all 4 atoms:
1 Br 0.000 0.000 0.897  0.00
2 Br 0.500 0.500 0.296  0.00
3 Ni 0.000 0.000 0.536  0.15
4 Sr 0.500 0.500 0.771  -0.01


Record 2
Here is crystalline PrSm5Ru3 at its relaxed geometry from Alexandria via LeMat-Bulk. Energies are from GGA-PBE.

Cell lengths 7.803, 7.803, 10.212 Å; angles 71.63, 71.63, 72.39 degrees
Fractional coordinates of all 18 atoms:
1 Pr 0.104 0.104 0.699
2 Pr 0.896 0.896 0.301
3 Sm 0.966 0.364 0.331
4 Sm 0.302 0.698 0.000
5 Sm 0.767 0.767 0.033
6 Sm 0.431 0.431 0.369
7 Sm 0.569 0.569 0.631
8 Sm 0.233 0.233 0.967
9 Sm 0.364 0.966 0.331
10 Sm 0.698 0.302 0.000
11 Sm 0.034 0.636 0.669
12 Sm 0.636 0.034 0.669
13 Ru 0.668 0.668 0.833
14 Ru 0.662 0.662 0.331
15 Ru 0.000 0.000 0.000
16 Ru 0.000 0.000 0.500
17 Ru 0.332 0.332 0.167
18 Ru 0.338 0.338 0.669


no.,electronic total energy (Ry per atom),DOS at the Fermi energy (states/eV/f.u.)
1,-0.253,3.00
2,-0.470,2.56